Density functional theory data (PBE-GGA) for crystalline AgTeRuF2 at its relaxed geometry.

Calculated values
Electronic total energy: -18.26 eV/f.u.
Space-group type: P4/mmm

Geometry as POSCAR:
```
AgTeRuF2
1.0
4.304 0.000 0.000
0.000 4.304 0.000
0.000 0.000 5.637
Ag Te Ru F
1 1 1 2
Direct
0.000 0.000 0.000 Ag
0.000 0.000 0.500 Te
0.500 0.500 0.000 Ru
0.000 0.500 0.500 F
0.500 0.000 0.500 F
```

---

Density functional theory data (PBE-GGA) for crystalline Tl2AgRuF8 at its relaxed geometry.

Calculated values
Electronic total energy: -52.14 eV/f.u.
Space-group type: P2/m

Geometry as POSCAR:
```
Tl2AgRuF8
1.0
5.287 0.000 0.000
0.000 8.097 0.000
-0.550 0.000 5.835
Tl Ag Ru F
2 1 1 8
Direct
0.000 0.242 0.000 Tl
0.000 0.758 0.000 Tl
0.500 0.000 0.500 Ag
0.500 0.500 0.500 Ru
0.178 0.500 0.326 F
0.203 0.000 0.231 F
0.391 0.329 0.695 F
0.391 0.671 0.695 F
0.609 0.329 0.305 F
0.609 0.671 0.305 F
0.797 0.000 0.769 F
0.822 0.500 0.674 F
```

---

Density functional theory data (PBE-GGA) for crystalline ZnAgRu2F at its relaxed geometry.

Calculated values
Electronic total energy: -17.82 eV/f.u.
Space-group type: P4/mmm
Excess energy over the best structure of this formula in the dataset: 101 meV/atom

Geometry as POSCAR:
```
ZnAgRu2F
1.0
5.058 0.000 0.000
0.000 5.058 0.000
0.000 0.000 4.043
Zn Ag Ru F
1 1 2 1
Direct
0.000 0.000 0.000 Zn
0.500 0.500 0.500 Ag
0.000 0.500 0.500 Ru
0.500 0.000 0.500 Ru
0.500 0.500 0.000 F
```

---

Density functional theory data (PBE-GGA) for crystalline ZnAgRu2F at its relaxed geometry.

Calculated values
Electronic total energy: -18.33 eV/f.u.
Space-group type: P4/mmm
Excess energy over the best structure of this formula in the dataset: 0 meV/atom

Geometry as POSCAR:
```
ZnAgRu2F
1.0
4.683 0.000 0.000
0.000 4.683 0.000
0.000 0.000 4.819
Zn Ag Ru F
1 1 2 1
Direct
0.000 0.000 0.000 Zn
0.000 0.000 0.500 Ag
0.000 0.500 0.000 Ru
0.500 0.000 0.000 Ru
0.500 0.500 0.500 F
```

---

Density functional theory data (PBE-GGA) for crystalline ZrAg2RuF at its relaxed geometry.

Calculated values
Electronic total energy: -23.17 eV/f.u.
Space-group type: P4/mmm

Geometry as POSCAR:
```
ZrAg2RuF
1.0
5.157 0.000 0.000
0.000 5.157 0.000
0.000 0.000 3.804
Zr Ag Ru F
1 2 1 1
Direct
0.000 0.000 0.000 Zr
0.000 0.500 0.500 Ag
0.500 0.000 0.500 Ag
0.500 0.500 0.500 Ru
0.500 0.500 0.000 F
```

---

Density functional theory data (PBE-GGA) for crystalline AgS2F at its relaxed geometry.

Calculated values
Electronic total energy: -11.42 eV/f.u.
Space-group type: R-3m
Excess energy over the best structure of this formula in the dataset: 748 meV/atom

Geometry as POSCAR:
```
AgS2F
1.0
2.781 0.000 0.000
-1.390 2.408 0.000
0.000 0.000 26.366
Ag S F
3 6 3
Direct
0.000 0.000 0.000 Ag
0.333 0.667 0.667 Ag
0.667 0.333 0.333 Ag
0.000 0.000 0.093 S
0.000 0.000 0.907 S
0.333 0.667 0.574 S
0.333 0.667 0.760 S
0.667 0.333 0.240 S
0.667 0.333 0.426 S
0.000 0.000 0.500 F
0.333 0.667 0.167 F
0.667 0.333 0.833 F
```

---

Sequential V output: 20.9; 20.8; 20.7; 21.1; 20.2; 14.7 Å³/atom
Sequential raw formation energy output: 0.15; -1.69; 1.35; 1.24; 0.45; 0.39 eV/atom